Computed, not measured: a relaxed structure of ScSnSb2 at the PBE level of DFT.

a = 3.9938 Å, b = 3.9938 Å, c = 6.3905 Å
α = 90.00°, β = 90.00°, γ = 90.00°
Space group P4/mmm (No. 123)
One atom of each set of equivalent atoms:
Sc 0.0000 0.0000 0.0000 [1 per cell]
Sn 0.0000 0.0000 0.5000 [1 per cell]
Sb 0.5000 0.5000 0.2311 [2 per cell]

Results
- DFT total energy: -4.98 eV/atom
- Crystal system: tetragonal
- M_tot: 0.000 μB/cell
- V: 25.48 Å³/atom
- Formation energy from raw total energies: -32.3 kJ/mol of atoms



Computed, not measured: a relaxed structure of LaZn11Au at the PBE level of DFT.

a = 5.3244 Å, b = 12.8558 Å, c = 6.8964 Å
α = 90.00°, β = 112.28°, γ = 90.00°
Space group C2/m (No. 12)
One atom of each set of equivalent atoms:
La 0.0000 0.0000 0.0000 [2 per cell]
Zn 0.0000 0.5000 0.5000 [2 per cell]
Zn 0.1047 0.3866 0.2206 [8 per cell]
Zn 0.1808 0.1799 0.3549 [8 per cell]
Zn 0.2500 0.2500 0.0000 [4 per cell]
Au 0.0000 0.0000 0.5000 [2 per cell]

Results
- DFT total energy: -1.93 eV/atom
- Crystal system: monoclinic
- M_tot: 0.000 μB/cell
- DFT formation energy: -0.22 eV per atom
- V: 16.80 Å³/atom



Computed, not measured: a relaxed structure of K3Ho2NpSe6 at the PBE level of DFT.

a = 7.3358 Å, b = 12.6816 Å, c = 8.0560 Å
α = 90.00°, β = 107.59°, γ = 90.00°
Space group C2/m (No. 12)
One atom of each set of equivalent atoms:
K 0.0000 0.0000 0.0000 [2 per cell]
K 0.0000 0.3334 0.0000 [4 per cell]
Ho 0.0000 0.1659 0.5000 [4 per cell]
Np 0.0000 0.5000 0.5000 [2 per cell]
Se 0.2299 0.0000 0.7058 [4 per cell]
Se 0.2380 0.3309 0.7051 [8 per cell]

Results
- DFT total energy: -5.44 eV/atom
- Crystal system: monoclinic
- M_tot: 8.000 μB/cell
- V: 29.77 Å³/atom
- Formation energy from raw total energies: -152.5 kJ/mol of atoms



Computed, not measured: a relaxed structure of La2BeSi4Ir3 at the PBE level of DFT.

a = 4.2123 Å, b = 4.2123 Å, c = 9.9503 Å
α = 90.00°, β = 90.00°, γ = 90.00°
Space group P-4m2 (No. 115)
One atom of each set of equivalent atoms:
La 0.0000 0.5000 0.2493 [2 per cell]
Be 0.5000 0.5000 0.0000 [1 per cell]
Si 0.0000 0.0000 0.5000 [1 per cell]
Si 0.0000 0.5000 0.8712 [2 per cell]
Si 0.5000 0.5000 0.5000 [1 per cell]
Ir 0.0000 0.0000 0.0000 [1 per cell]
Ir 0.0000 0.5000 0.6247 [2 per cell]

Results
- DFT total energy: -7.03 eV/atom
- Crystal system: tetragonal
- M_tot: 0.000 μB/cell
- V: 17.66 Å³/atom
- Formation energy from raw total energies: -81.3 kJ/mol of atoms



Computed, not measured: a relaxed structure of GdYAg at the PBE level of DFT.

a = 3.6367 Å, b = 3.6367 Å, c = 12.4256 Å
α = 90.00°, β = 90.00°, γ = 90.00°
Space group I4mm (No. 107)
One atom of each set of equivalent atoms:
Gd 0.0000 0.0000 0.0000 [2 per cell]
Y 0.0000 0.0000 0.2980 [2 per cell]
Ag 0.0000 0.0000 0.6534 [2 per cell]

Results
- DFT total energy: -7.99 eV/atom
- Crystal system: tetragonal
- M_tot: 16.414 μB/cell
- DFT formation energy: -0.19 eV per atom
- V: 27.39 Å³/atom
- E above lowest polymorph: 0.00 eV/f.u.



Computed, not measured: a relaxed structure of CaYTi3 at the PBE level of DFT.

a = 5.0607 Å, b = 5.0607 Å, c = 5.0607 Å
α = 90.00°, β = 90.00°, γ = 90.00°
Space group Pm-3m (No. 221)
One atom of each set of equivalent atoms:
Ca 0.0000 0.0000 0.0000 [1 per cell]
Y 0.5000 0.5000 0.5000 [1 per cell]
Ti 0.0000 0.5000 0.5000 [3 per cell]

Results
- DFT total energy: -5.24 eV/atom
- Crystal system: cubic
- M_tot: 1.885 μB/cell
- DFT formation energy: 1.19 eV per atom
- V: 25.92 Å³/atom
- E above lowest polymorph: 0.00 eV/f.u.